A plane-wave DFT calculation with GGA+U was carried out for a relaxed Tc2NiO8 crystal.

Computed properties:
DOS(E_F) in states/eV/cell: 0.000
Total energy in eV/atom: -6.93

Unit cell a=6.3099 b=6.3099 c=5.1309 alpha=95.91 beta=95.91 gamma=91.80
Sites, in units of the cell vectors:
Tc  0.2220  0.2220  0.1567
Tc  0.7780  0.7780  0.8433
Ni  0.0000  0.0000  0.5000
O  0.0089  0.7067  0.6976
O  0.1639  0.1639  0.8122
O  0.2933  0.9911  0.3024
O  0.4184  0.4184  0.2218
O  0.5816  0.5816  0.7782
O  0.7067  0.0089  0.6976
O  0.8361  0.8361  0.1878
O  0.9911  0.2933  0.3024